# Li3VCr (GGA-PBE, relaxed)
# excess energy over the best structure of this formula in the dataset	0	meV per atom
# calculated formation energy	6.2	eV per formula unit
# density of states at the Fermi level	8.14	states/eV per cell
# VASP energy	-3.65	eV per atom
data_Li3VCr
_cell_length_a 4.780
_cell_length_b 4.780
_cell_length_c 4.780
_cell_angle_alpha 90.00
_cell_angle_beta 90.00
_cell_angle_gamma 90.00
_symmetry_space_group_name_H-M 'P 1'
_symmetry_Int_Tables_number 1
loop_
_symmetry_equiv_pos_as_xyz
'x,y,z'
loop_
_atom_site_label
_atom_site_fract_x
_atom_site_fract_y
_atom_site_fract_z
_atom_site_occupancy
Li1 0.000 0.000 0.500 1
Li2 0.000 0.500 0.000 1
Li3 0.500 0.000 0.000 1
V1 0.500 0.500 0.500 1
Cr1 0.000 0.000 0.000 1